Record 1
Material: TmTh2Au6
Method: DFT, GGA-PBE
State: optimized geometry

The space group is P-3m1 (No. 164) and the conventional cell measures 6.6729, 6.6729 and 5.4364 Å, with angles of 90.00, 90.00 and 120.00 degrees. The distinct sites, in fractional coordinates, are Tm at (0.0000, 0.0000, 0.0000), Th at (0.3333, 0.6667, 0.8328) and Au at (0.1887, 0.3773, 0.3205).

The value obtained for the total energy is -4.9205 eV per atom. The total moment comes out at 0.00 μB per formula unit. The calculation puts the formation energy at -0.590 eV per atom.

=====

Record 2
Material: Tm5ThAu4
Method: DFT, GGA-PBE
State: optimized geometry

The space group is P4/mmm (No. 123) and the conventional cell measures 3.543, 3.543 and 19.209 Å, with angles of 90.00, 90.00 and 90.00 degrees. The distinct sites, in fractional coordinates, are Tm at (0.000, 0.000, 0.000), Tm at (0.000, 0.000, 0.187), Tm at (0.000, 0.000, 0.370), Th at (0.500, 0.500, 0.500), Au at (0.500, 0.500, 0.093) and Au at (0.500, 0.500, 0.280).

The value obtained for the total energy is -4.9994 eV per atom. The total moment comes out at 0.00 μB per formula unit. The calculation puts the formation energy at -0.711 eV per atom.